1.
{"formula": "ZrTaTe", "functional": "GGA-PBE", "state": "optimized geometry", "lattice": [[3.5211, 0.0000, 0.0000], [-1.7605, 3.0493, 0.0000], [0.0000, 0.0000, 6.3728]], "species": ["Ta", "Te", "Zr"], "fractional_positions": [[0.0000, 0.0000, 0.0035], [0.6667, 0.3333, 0.3200], [0.3333, 0.6667, 0.6765]]}

***

2.
{"formula": "ZrTaTe", "functional": "GGA-PBE", "state": "optimized geometry", "lattice": [[-0.0209, 1.2482, 3.4242], [-3.6429, 0.0951, -0.0569], [-0.3201, -10.0654, 3.6671]], "species": ["Te", "Te", "Zr", "Zr", "Ta", "Ta"], "fractional_positions": [[0.0000, 0.5000, 0.6461], [0.5000, 0.0000, 0.3539], [0.5000, 0.0000, 0.7745], [0.0000, 0.5000, 0.2255], [0.0000, 0.5000, 0.9340], [0.5000, 0.0000, 0.0660]]}

***

3.
{"formula": "ZrTa2Te", "functional": "GGA-PBE", "state": "optimized geometry", "lattice": [[3.1353, 0.0047, 0.0000], [-1.0465, 2.9555, 0.0000], [0.0000, 0.0000, 8.9583]], "species": ["Ta", "Ta", "Te", "Zr"], "fractional_positions": [[0.0000, 0.0000, 0.0071], [0.0000, 0.0000, 0.4929], [0.5000, 0.5000, 0.2500], [0.5000, 0.5000, 0.7500]]}

***

The uncorrected formation energy results, record by record, are as follows: 0.00, -0.47, 0.25 eV per atom.